Computed, not measured: a geometry-optimized Cs8As2H structure at the GGA-PBE level of DFT.

Cell: 5.8813 10.8773 14.4362 Å, 138.88 89.99 89.88°
Last column: nearest neighbours and their distance in Å.
Element x y z (fractional)
Cs 0.7541 0.8038 0.3500  3 As 3.72-3.91
Cs 0.2598 0.6221 0.6706  1 H 3.48, 2 As 3.72-3.81
Cs 0.2621 0.0623 0.2907  2 As 3.69-3.79, 1 H 3.97, 1 Cs 4.10
Cs 0.2579 0.3298 0.0905  1 H 3.09
Cs 0.7379 0.9377 0.7093  2 As 3.69-3.79, 1 H 3.97, 1 Cs 4.10
Cs 0.7402 0.3779 0.3294  1 H 3.48, 2 As 3.72-3.81
Cs 0.2459 0.1962 0.6500  3 As 3.72-3.91
Cs 0.7421 0.6702 0.9095  1 H 3.09
As 0.2497 0.7110 0.4670  9 Cs 3.58-3.91
As 0.7503 0.2890 0.5330  9 Cs 3.58-3.91
H 0.5000 0.0000 0.0000  2 Cs 3.09

Properties
calculated total energy = -0.1452 Ry per atom
symmetry = No. 2

Computed, not measured: a geometry-optimized Cs2AsH structure at the GGA-PBE level of DFT.

Cell: 4.6809 8.3739 9.2202 Å, 90.00 90.00 106.23°
Last column: nearest neighbours and their distance in Å.
Element x y z (fractional)
Cs 0.3888 0.7776 0.0057  2 H 3.32, 1 Cs 3.58, 2 As 3.68
Cs 0.6112 0.2224 0.9943  2 H 3.32, 1 Cs 3.58, 2 As 3.68
Cs 0.6112 0.2224 0.5057  2 H 3.32, 1 Cs 3.58, 2 As 3.68
Cs 0.3888 0.7776 0.4943  2 H 3.32, 1 Cs 3.58, 2 As 3.68
As 0.9878 0.9756 0.7500  1 H 1.58
As 0.0122 0.0244 0.2500  1 H 1.58
H 0.8895 0.7790 0.7500  1 As 1.58
H 0.1105 0.2210 0.2500  1 As 1.58

Properties
energy above the lowest structure with this stoichiometry = 37.4 meV/atom
symmetry = No. 63

Computed, not measured: a geometry-optimized Cs2AsH2 structure at the GGA-PBE level of DFT.

Cell: 4.4704 4.4704 7.9147 Å, 106.40 106.40 90.00°
Last column: nearest neighbours and their distance in Å.
Element x y z (fractional)
Cs 0.6365 0.6365 0.2730  5 H 3.16-3.33
Cs 0.3635 0.3635 0.7270  5 H 3.16-3.33
As 0.0000 0.0000 0.0000  2 H 1.95
H 0.8658 0.8658 0.7315  1 As 1.95
H 0.1342 0.1342 0.2685  1 As 1.95

Properties
energy above the lowest structure with this stoichiometry = 71.6 meV/atom
symmetry = No. 139

Computed, not measured: a geometry-optimized Cs2As2H structure at the GGA-PBE level of DFT.

Cell: 3.8937 6.9861 11.8038 Å, 95.66 90.00 106.18°
Last column: nearest neighbours and their distance in Å.
Element x y z (fractional)
Cs 0.3197 0.6393 0.3462  2 H 3.06-3.20
Cs 0.5507 0.1014 0.1583  1 H 3.02
Cs 0.6803 0.3607 0.6538  2 H 3.06-3.20
Cs 0.4493 0.8986 0.8417  1 H 3.02
As 0.9500 0.9000 0.5832  2 H 1.95
As 0.2030 0.4060 0.9508  2 As 2.54
As 0.0500 0.1000 0.4168  2 H 1.95
As 0.7970 0.5940 0.0492  2 As 2.54
H 0.5459 0.0919 0.4133  2 As 1.95
H 0.4541 0.9081 0.5867  2 As 1.95

Properties
calculated total energy = -0.2284 Ry per atom
symmetry = No. 12

Computed, not measured: a geometry-optimized CsAs4H7 structure at the GGA-PBE level of DFT.

Cell: 6.5327 7.8236 7.9617 Å, 90.20 66.13 47.14°
Last column: nearest neighbours and their distance in Å.
Element x y z (fractional)
Cs 0.1805 0.9867 0.8229  6 H 3.18-3.48, 1 As 3.50
As 0.4780 0.0238 0.2258  2 H 1.54-1.56
As 0.9582 0.7228 0.7137  1 H 1.55
As 0.4225 0.3118 0.7026  2 H 1.55-1.56
As 0.5263 0.6792 0.1868  2 H 1.54-1.57
H 0.2862 0.4261 0.9268  1 As 1.55
H 0.2023 0.8393 0.1915  1 As 1.54
H 0.3203 0.7450 0.4164  1 As 1.57
H 0.6820 0.3120 0.6354  1 As 1.56
H 0.2219 0.1655 0.4590  1 As 1.56
H 0.1847 0.2054 0.1983  1 As 1.54
H 0.0372 0.5824 0.5208  1 As 1.55

Properties
calculated total energy = -0.2632 Ry per atom
symmetry = No. 1

Computed, not measured: a geometry-optimized Cs2AsH structure at the GGA-PBE level of DFT.

Cell: 7.6650 7.6650 7.6650 Å, 109.67 109.67 109.08°
Last column: nearest neighbours and their distance in Å.
Element x y z (fractional)
Cs 0.3750 0.8036 0.9286  2 H 2.93
Cs 0.8750 0.4464 0.0714  2 H 2.93
Cs 0.1964 0.1250 0.5714  2 H 2.93
Cs 0.5536 0.6250 0.4286  2 H 2.93
As 0.0000 0.0000 0.0000  4 Cs 3.76
As 0.7500 0.2500 0.5000  4 Cs 3.76
H 0.5000 0.5000 0.0000  4 Cs 2.93
H 0.2500 0.7500 0.5000  4 Cs 2.93

Properties
energy above the lowest structure with this stoichiometry = 412.0 meV/atom
symmetry = No. 122

Computed, not measured: a geometry-optimized CsAs3H6 structure at the GGA-PBE level of DFT.

Cell: 5.3203 6.5952 6.5952 Å, 113.05 105.60 105.60°
Last column: nearest neighbours and their distance in Å.
Element x y z (fractional)
Cs 0.2668 0.0000 0.0000  9 H 2.99-3.14
As 0.8577 0.4594 0.0000  2 H 1.55-1.56
As 0.8577 0.0000 0.4594  2 H 1.55-1.56
As 0.3983 0.5406 0.5406  2 H 1.55-1.56
H 0.1593 0.0000 0.5079  1 As 1.55
H 0.1593 0.5079 0.0000  1 As 1.55
H 0.8436 0.0000 0.2202  1 As 1.56
H 0.8436 0.2202 0.0000  1 As 1.56
H 0.6234 0.7798 0.7798  1 As 1.56
H 0.6514 0.4921 0.4921  1 As 1.55

Properties
calculated total energy = -0.2457 Ry per atom
symmetry = No. 160

Computed, not measured: a geometry-optimized Cs2AsH2 structure at the GGA-PBE level of DFT.

Cell: 4.1070 7.0378 14.0673 Å, 82.66 81.61 73.04°
Last column: nearest neighbours and their distance in Å.
Element x y z (fractional)
Cs 0.7029 0.2149 0.3793  3 H 3.03-3.22
Cs 0.9301 0.2744 0.8655  3 H 3.01-3.23
Cs 0.2971 0.7851 0.6207  3 H 3.03-3.22
Cs 0.0699 0.7256 0.1345  3 H 3.01-3.23
As 0.5589 0.2346 0.6477  1 H 1.57
As 0.4411 0.7654 0.3523  1 H 1.57
H 0.0615 0.2242 0.6528  2 As 2.06
H 0.6061 0.0580 0.7298  1 As 1.57
H 0.9385 0.7758 0.3472  2 As 2.06
H 0.3939 0.9420 0.2702  1 As 1.57

Properties
energy above the lowest structure with this stoichiometry = 0.0 meV/atom
symmetry = No. 12

Computed, not measured: a geometry-optimized Cs2HgAsH structure at the GGA-PBE level of DFT.

Cell: 6.4809 6.4809 3.9673 Å, 90.00 90.00 90.00°
Last column: nearest neighbours and their distance in Å.
Element x y z (fractional)
Cs 0.0000 0.5000 0.0000  2 H 3.24
Cs 0.5000 0.0000 0.0000  2 H 3.24
H 0.0000 0.0000 0.0000  2 As 1.98
As 0.0000 0.0000 0.5000  2 H 1.98
Hg 0.5000 0.5000 0.5000  8 Cs 3.80, 2 Hg 3.97

Properties
calculated total energy = -0.1569 Ry per atom
symmetry = No. 123

Computed, not measured: a geometry-optimized Cs2InAsH structure at the GGA-PBE level of DFT.

Cell: 4.5082 7.4362 12.2134 Å, 115.76 90.00 90.00°
Last column: nearest neighbours and their distance in Å.
Element x y z (fractional)
Cs 0.7500 0.7933 0.5639  2 H 2.91
Cs 0.7500 0.7868 0.0939  1 H 3.02
Cs 0.2500 0.2067 0.4361  2 H 2.91
Cs 0.2500 0.2132 0.9061  1 H 3.02
In 0.2500 0.6149 0.7900  1 H 1.89
In 0.7500 0.3851 0.2100  1 H 1.89
As 0.2500 0.6106 0.2800  2 In 2.72
As 0.7500 0.3894 0.7200  2 In 2.72
H 0.2500 0.7873 0.7127  1 In 1.89
H 0.7500 0.2127 0.2873  1 In 1.89

Properties
calculated total energy = -0.2011 Ry per atom
symmetry = No. 11

Computed, not measured: a geometry-optimized Cs2LiAsH structure at the GGA-PBE level of DFT.

Cell: 6.8283 3.7283 6.8283 Å, 90.00 90.00 90.00°
Last column: nearest neighbours and their distance in Å.
Element x y z (fractional)
Cs 0.0000 0.0000 0.5000  2 H 3.41, 2 Cs 3.73
Cs 0.5000 0.0000 0.0000  2 H 3.41, 2 Cs 3.73
H 0.0000 0.0000 0.0000  2 As 1.86
As 0.0000 0.5000 0.0000  2 H 1.86
Li 0.5000 0.5000 0.5000  2 Li 3.73, 8 Cs 3.89

Properties
calculated total energy = -0.1642 Ry per atom
symmetry = No. 123

Computed, not measured: a geometry-optimized CsMgAsH6O4 structure at the GGA-PBE level of DFT.

Cell: 7.4122 7.4122 7.4122 Å, 60.00 60.00 60.00°
Last column: nearest neighbours and their distance in Å.
Element x y z (fractional)
Cs 0.0000 0.0000 0.0000  4 O 2.82
Mg 0.5000 0.5000 0.5000  6 H 2.00
As 0.7500 0.7500 0.7500  4 O 1.72
H 0.3095 0.6905 0.3095  1 Mg 2.00
H 0.6905 0.3095 0.6905  1 Mg 2.00
H 0.6905 0.3095 0.3095  1 Mg 2.00
H 0.3095 0.6905 0.6905  1 Mg 2.00
H 0.6905 0.6905 0.3095  1 Mg 2.00
H 0.3095 0.3095 0.6905  1 Mg 2.00
O 0.8448 0.8448 0.4655  1 As 1.72
O 0.8448 0.8448 0.8448  1 As 1.72
O 0.8448 0.4655 0.8448  1 As 1.72
O 0.4655 0.8448 0.8448  1 As 1.72

Properties
calculated total energy = -0.2399 Ry per atom
symmetry = No. 216